Here is Ca2AgTe after structural relaxation from the Alexandria database. Energies are from PBE-GGA.

Properties
The energy relative to the elements, uncorrected is -0.8369 eV per atom. As for the space group: No. 123. The value obtained for the density of states at the Fermi level is 0.347 states/eV/atom. Its total energy is -3.336 eV per atom.

abc: 3.895 3.895 7.308
angles: 90.00 90.00 90.02
Positions (direct):
Ca  0.000  0.000  0.996
Ca  0.000  0.000  0.504
Te  0.500  0.500  0.250
Ag  0.500  0.500  0.750